Entry 1:
Here is crystalline PrScCuPt2 at its relaxed geometry from the Alexandria database. Energies are from PBE-GGA.

abc: 3.998 3.998 6.981
angles: 106.64 106.64 90.00
Positions (direct):
1 Pr 0.000 0.000 0.000
2 Sc 0.250 0.750 0.500
3 Cu 0.750 0.250 0.500
4 Pt 0.608 0.608 0.216
5 Pt 0.392 0.392 0.784

Summary:
The calculation puts the density of states at the Fermi level at 2.8 states/eV/f.u. For the uncorrected energy, the calculation gives -6.3479 eV per atom. The calculation puts the formation energy at -890 meV per atom. Its space-group type is I-4m2.


Entry 2:
Here is crystalline MnRe2Hg at its relaxed geometry from the Alexandria database. Energies are from PBE-GGA.

abc: 4.790 4.790 4.923
angles: 79.58 79.58 35.10
Positions (direct):
1 Hg 0.502 0.502 0.484
2 Mn 0.259 0.259 0.235
3 Re 0.998 0.998 0.984
4 Re 0.742 0.742 0.797

Summary:
The calculation puts the density of states at the Fermi level at 3.8 states/eV/f.u. For the uncorrected energy, the calculation gives -8.0246 eV per atom. The calculation puts the formation energy at 567 meV per atom. Its space-group type is Cm.